A relaxed structure of AcMgP2, computed with PBE-GGA.

Calculated values
Space group: Fm-3m (225)
ΔE to the lowest computed polymorph in meV/atom: 149

Geometry as extended XYZ:
```
16
Lattice="7.121 0.000 0.000 0.000 7.121 0.000 0.000 0.000 7.121" Properties=species:S:1:pos:R:3 pbc="T T T"
Ac 0.000 0.000 0.000
Ac 0.000 3.560 3.560
Ac 3.560 0.000 3.560
Ac 3.560 3.560 0.000
Mg 0.000 0.000 3.560
Mg 0.000 3.560 0.000
Mg 3.560 0.000 0.000
Mg 3.560 3.560 3.560
P 1.780 1.780 1.780
P 1.780 1.780 5.341
P 1.780 5.341 1.780
P 1.780 5.341 5.341
P 5.341 1.780 1.780
P 5.341 1.780 5.341
P 5.341 5.341 1.780
P 5.341 5.341 5.341
```